First-principles (PBE-GGA) data for a relaxed structure of LaCu2NiPt, as listed in the Alexandria database.

Computed properties:
Total moment (μB per formula unit): 0.0

abc: 5.1017 5.1732 5.1017
angles: 90.00 90.00 90.00
Positions (direct):
Cu1 0.0000 0.0000 0.5000
Cu2 0.5000 0.0000 0.0000
Pt1 0.0000 0.5000 0.0000
La1 0.0000 0.0000 0.0000
Ni1 0.5000 0.5000 0.5000

---

First-principles (PBE-GGA) data for a relaxed structure of La2Cu3Ni12Pt, as listed in the Alexandria database.

Computed properties:
Total moment (μB per formula unit): 1.8

abc: 9.5885 9.5885 9.5885
angles: 35.98 35.98 35.98
Last column: magnetic moment on the atom in μB.
Positions (direct):
La1 0.6489 0.6489 0.6489  -0.03
La2 0.3511 0.3511 0.3511  -0.03
Cu1 0.0000 0.5000 0.0000  0.03
Cu2 0.5000 0.0000 0.0000  0.03
Cu3 0.0000 0.0000 0.5000  0.03
Ni1 0.0656 0.0656 0.6450  0.17
Ni2 0.6450 0.0656 0.0656  0.17
Ni3 0.4187 0.4187 0.8098  0.15
Ni4 0.9344 0.3550 0.9344  0.17
Ni5 0.4187 0.8098 0.4187  0.15
Ni6 0.5813 0.1902 0.5813  0.15
Ni7 0.1902 0.5813 0.5813  0.15
Ni8 0.0656 0.6450 0.0656  0.17
Ni9 0.8098 0.4187 0.4187  0.15
Ni10 0.5813 0.5813 0.1902  0.15
Ni11 0.9344 0.9344 0.3550  0.17
Ni12 0.3550 0.9344 0.9344  0.17
Pt1 0.0000 0.0000 0.0000  0.04

---

First-principles (PBE-GGA) data for a relaxed structure of LaPuCuNi, as listed in the Alexandria database.

Computed properties:
Total moment (μB per formula unit): 5.7

abc: 4.9602 4.9602 4.9602
angles: 60.00 60.00 60.00
Last column: magnetic moment on the atom in μB.
Positions (direct):
La1 0.0000 0.0000 0.0000  0.09
Ni1 0.7500 0.7500 0.7500  -0.15
Pu1 0.5000 0.5000 0.5000  5.34
Cu1 0.2500 0.2500 0.2500  0.02

---

Ordered E_form results: 1489 177 -35; unit meV/atom.
Ordered total DFT energy (no corrections) results: -17.50 -94.37 -29.28; unit eV for the cell shown.